1.
The following is a DFT calculation (PBE) of LaTbNd2Te5 after structural relaxation.

Cell lengths 5.568, 5.568, 11.925 Å; angles 90.00, 90.00, 90.00 degrees
Atoms (fractional coordinates):
Te  0.500  0.000  0.500
Te  0.500  0.500  0.000
Nd  0.500  0.500  0.347
Nd  0.500  0.500  0.653
La  0.000  0.000  0.000
Te  0.000  0.000  0.749
Te  0.000  0.000  0.251
Te  0.000  0.500  0.500
Tb  0.000  0.000  0.500

SG: P4/mmm (123)
Energy in eV/atom: -4.753
Crystal system: tetragonal
V in Å³ per cell: 369.66
Formation energy (no corrections) in eV per atom: -0.886



2.
The following is a DFT calculation (PBE) of La3Tb6NdTh2 after structural relaxation.

Cell lengths 6.287, 6.287, 11.869 Å; angles 95.07, 95.07, 119.99 degrees
Atoms (fractional coordinates):
La  0.166  0.834  0.500
Tb  0.581  0.919  0.756
Tb  0.081  0.419  0.244
Tb  0.257  0.257  0.756
Tb  0.419  0.081  0.244
Th  0.333  0.667  0.000
Tb  0.743  0.743  0.244
Nd  0.000  0.000  0.000
Th  0.667  0.333  0.000
Tb  0.919  0.581  0.756
La  0.834  0.166  0.500
La  0.500  0.500  0.500

SG: C2/m (12)
Energy in eV/atom: -5.157
Crystal system: monoclinic
V in Å³ per cell: 399.93



3.
The following is a DFT calculation (PBE) of La6Tb2NdTh after structural relaxation.

Cell lengths 10.305, 8.877, 8.877 Å; angles 116.05, 96.65, 96.65 degrees
Atoms (fractional coordinates):
La  0.056  0.107  0.742
La  0.617  0.497  0.692
Tb  0.050  0.274  0.189
Nd  0.750  0.016  0.984
Tb  0.950  0.726  0.811
La  0.117  0.692  0.497
La  0.690  0.006  0.570
Tb  0.550  0.189  0.274
La  0.190  0.570  0.006
Nd  0.250  0.984  0.016
La  0.944  0.893  0.258
La  0.810  0.430  0.994
Th  0.250  0.403  0.597
Tb  0.450  0.811  0.726
La  0.310  0.994  0.430
Th  0.750  0.597  0.403
La  0.556  0.742  0.107
La  0.383  0.503  0.308
La  0.444  0.258  0.893
La  0.883  0.308  0.503

SG: C2/c (15)
Energy in eV/atom: -4.976
Crystal system: monoclinic
V in Å³ per cell: 711.86



4.
The following is a DFT calculation (PBE) of La4TbNd2Th after structural relaxation.

Cell lengths 3.671, 6.376, 12.161 Å; angles 80.25, 90.00, 90.00 degrees
Atoms (fractional coordinates):
La  0.000  0.747  0.750
Nd  0.000  0.000  0.000
La  0.500  0.260  0.746
La  0.000  0.253  0.250
Th  0.000  0.500  0.500
Tb  0.500  0.500  0.000
Nd  0.500  0.000  0.500
La  0.500  0.740  0.254

SG: P2/m (10)
Energy in eV/atom: -5.130
Crystal system: monoclinic
V in Å³ per cell: 280.56



5.
The following is a DFT calculation (PBE) of La2Tb5NdTh after structural relaxation.

Cell lengths 5.706, 10.502, 10.649 Å; angles 90.00, 90.00, 105.76 degrees
Atoms (fractional coordinates):
Tb  0.017  0.033  0.025
Tb  0.390  0.779  0.024
Tb  0.702  0.404  0.208
La  0.117  0.235  0.729
Tb  0.983  0.967  0.525
Tb  0.479  0.958  0.738
Nd  0.587  0.174  0.953
Tb  0.298  0.596  0.708
La  0.884  0.767  0.821
Tb  0.278  0.555  0.315
Tb  0.610  0.221  0.524
Th  0.798  0.596  0.512
Nd  0.413  0.826  0.453
Tb  0.722  0.445  0.815
La  0.883  0.765  0.229
Th  0.202  0.404  0.012
La  0.116  0.233  0.321
Tb  0.521  0.042  0.238

SG: Cmc2_1 (36)
Energy in eV/atom: -4.867
Crystal system: orthorhombic
V in Å³ per cell: 614.12



6.
The following is a DFT calculation (PBE) of La4Tb2NdTh after structural relaxation.

Cell lengths 3.662, 6.322, 12.149 Å; angles 80.06, 90.00, 90.00 degrees
Atoms (fractional coordinates):
La  0.500  0.256  0.746
La  0.000  0.249  0.254
La  0.000  0.751  0.746
Tb  0.500  0.000  0.500
Nd  0.500  0.500  0.000
Th  0.000  0.500  0.500
La  0.500  0.744  0.254
Tb  0.000  0.000  0.000

SG: P2/m (10)
Energy in eV/atom: -5.113
Crystal system: monoclinic
V in Å³ per cell: 277.05